The following is a PBE calculation of an optimized crystal structure of ZrBRh3, from Alexandria via LeMat-Bulk.

Unit cell a=7.701 b=7.701 c=7.701 alpha=60.00 beta=60.00 gamma=60.00
Fractional positions:
B  0.125  0.125  0.125
B  0.125  0.125  0.625
B  0.125  0.625  0.125
B  0.625  0.125  0.125
Rh  0.201  0.201  0.799
Rh  0.799  0.201  0.799
Rh  0.201  0.799  0.799
Rh  0.799  0.799  0.201
Rh  0.799  0.201  0.201
Rh  0.049  0.451  0.049
Rh  0.451  0.451  0.049
Rh  0.049  0.049  0.451
Rh  0.451  0.049  0.049
Rh  0.049  0.451  0.451
Rh  0.451  0.049  0.451
Rh  0.201  0.799  0.201
Zr  0.125  0.625  0.625
Zr  0.625  0.125  0.625
Zr  0.625  0.625  0.625
Zr  0.625  0.625  0.125

The following is a PBE calculation of an optimized crystal structure of CrIn2Os, from Alexandria via LeMat-Bulk.

Energy above the lowest structure with this stoichiometry (meV/atom): 435.7

Unit cell a=2.971 b=2.971 c=9.121 alpha=90.00 beta=90.00 gamma=116.60
Last column: magnetic moment on the atom in μB.
Fractional positions:
In  0.000  0.000  0.499  -0.05
In  0.000  0.000  0.001  -0.05
Cr  0.500  0.500  0.750  2.71
Os  0.500  0.500  0.250  -0.16

The following is a PBE calculation of an optimized crystal structure of Rb3LiIn, from Alexandria via LeMat-Bulk.

Energy above the lowest structure with this stoichiometry (meV/atom): 0.0

Unit cell a=7.143 b=7.143 c=7.143 alpha=90.00 beta=90.00 gamma=90.00
Fractional positions:
Li  0.500  0.500  0.500
Rb  0.500  0.000  0.000
Rb  0.000  0.500  0.000
Rb  0.000  0.000  0.500
In  0.000  0.000  0.000

The following is a PBE calculation of an optimized crystal structure of CaLaHg4, from Alexandria via LeMat-Bulk.

Energy above the lowest structure with this stoichiometry (meV/atom): 25.2

Unit cell a=4.026 b=5.715 c=8.129 alpha=100.64 beta=75.66 gamma=69.37
Fractional positions:
Hg  0.342  0.991  0.325
Hg  0.829  0.501  0.841
Hg  0.171  0.499  0.159
Hg  0.658  0.009  0.675
Ca  0.000  0.000  0.000
La  0.500  0.500  0.500

The following is a PBE calculation of an optimized crystal structure of Pr5SmSn6, from Alexandria via LeMat-Bulk.

Unit cell a=5.069 b=10.434 c=9.156 alpha=55.26 beta=73.94 gamma=60.96
Fractional positions:
Sn  0.249  0.586  0.331
Sn  0.252  0.248  0.000
Sn  0.751  0.414  0.669
Sn  0.249  0.917  0.669
Sn  0.748  0.752  0.000
Sn  0.751  0.083  0.331
Pr  0.500  0.166  0.667
Pr  0.500  0.500  0.000
Pr  0.000  0.666  0.667
Pr  0.500  0.834  0.333
Pr  0.000  0.334  0.333
Sm  0.000  0.000  0.000

The following is a PBE calculation of an optimized crystal structure of Tm2Pd4Pb, from Alexandria via LeMat-Bulk.

Unit cell a=4.707 b=4.707 c=8.183 alpha=73.29 beta=73.29 gamma=60.00
Fractional positions:
Pd  0.617  0.617  0.150
Pd  0.873  0.873  0.380
Pd  0.127  0.127  0.620
Pd  0.383  0.383  0.850
Tm  0.246  0.246  0.263
Tm  0.754  0.754  0.737
Pb  0.000  0.000  0.000

For the records above, the corresponding VASP energy values read -7.844 -5.901 -1.230 -1.801 -5.058 -5.333 eV per atom.
For the records above, the corresponding formation energy values read -0.388 0.682 0.281 -0.445 -0.672 -0.558 eV per atom.